(1)
YSnI2N: optimized geometry, GGA-PBE.

Structure (POSCAR):
```
YSnI2N
1.0
-4.443 -0.796 4.333
1.878 -5.909 0.840
2.501 1.191 2.783
I Y N Sn
2 1 1 1
direct
0.000 0.500 0.000
0.500 0.000 0.000
0.500 0.500 0.500
0.000 0.000 0.500
0.000 0.000 0.000
```

Calculated values
ΔE to the lowest computed polymorph: 420 meV/atom
E: -20.481 eV per cell
Formation energy (no corrections): 0.28 eV per atom
Calculated volume: 153.7 Å³/cell
Fermi-level density of states: 0.5874 states/eV/atom

(2)
YSnI2N: optimized geometry, GGA-PBE.

Structure (POSCAR):
```
YSnI2N
1.0
-1.689 0.193 6.004
0.146 -6.234 0.241
3.945 0.135 1.105
Y Sn I N
1 1 2 1
direct
0.000 0.000 0.000
0.500 0.500 0.500
0.000 0.500 0.000
0.500 0.000 0.000
0.000 0.000 0.500
```

Calculated values
ΔE to the lowest computed polymorph: 0 meV/atom
E: -22.581 eV per cell
Formation energy (no corrections): -0.14 eV per atom
Calculated volume: 159.6 Å³/cell
Fermi-level density of states: 0.5398 states/eV/atom

(3)
ZrSnIN2: optimized geometry, GGA-PBE.

Structure (POSCAR):
```
ZrSnIN2
1.0
-1.024 -3.993 -1.404
3.794 -0.225 -2.127
2.514 -2.306 4.728
N Zr I Sn
2 1 1 1
direct
0.000 0.500 0.000
0.500 0.000 0.000
0.000 0.000 0.000
0.000 0.000 0.500
0.500 0.500 0.500
```

Calculated values
ΔE to the lowest computed polymorph: 0 meV/atom
E: -28.728 eV per cell
Formation energy (no corrections): 0.40 eV per atom
Calculated volume: 110.6 Å³/cell
Fermi-level density of states: 0.5261 states/eV/atom

(4)
ZrSnI2N: optimized geometry, GGA-PBE.

Structure (POSCAR):
```
ZrSnI2N
1.0
6.022 0.000 0.000
0.000 6.022 0.000
0.000 0.000 4.027
I Zr N Sn
2 1 1 1
direct
0.500 0.000 0.000
0.000 0.500 0.000
0.000 0.000 0.000
0.000 0.000 0.500
0.500 0.500 0.500
```

Calculated values
ΔE to the lowest computed polymorph: 0 meV/atom
E: -24.505 eV per cell
Formation energy (no corrections): -0.11 eV per atom
Calculated volume: 146.0 Å³/cell
Fermi-level density of states: 0.8237 states/eV/atom

(5)
ZrSnI2N: optimized geometry, GGA-PBE.

Structure (POSCAR):
```
ZrSnI2N
1.0
6.126 0.000 0.000
0.000 6.126 0.000
0.000 0.000 3.843
I Zr N Sn
2 1 1 1
direct
0.500 0.000 0.000
0.000 0.500 0.000
0.500 0.500 0.500
0.000 0.000 0.500
0.000 0.000 0.000
```

Calculated values
ΔE to the lowest computed polymorph: 868 meV/atom
E: -20.167 eV per cell
Formation energy (no corrections): 0.76 eV per atom
Calculated volume: 144.2 Å³/cell
Fermi-level density of states: 0.7831 states/eV/atom

(6)
ZrSnIN2: optimized geometry, GGA-PBE.

Structure (POSCAR):
```
ZrSnIN2
1.0
-1.017 -3.238 2.435
3.934 -0.190 1.391
-1.328 3.615 4.251
N Sn Zr I
2 1 1 1
direct
0.500 0.000 0.000
0.000 0.500 0.000
0.000 0.000 0.000
0.500 0.500 0.500
0.000 0.000 0.500
```

Calculated values
ΔE to the lowest computed polymorph: 876 meV/atom
E: -24.349 eV per cell
Formation energy (no corrections): 1.28 eV per atom
Calculated volume: 100.1 Å³/cell
Fermi-level density of states: 0.8759 states/eV/atom

(7)
SrI3N: optimized geometry, GGA-PBE.

Structure (POSCAR):
```
SrI3N
1.0
5.235 0.000 0.000
0.000 5.235 0.000
0.000 0.000 5.235
I Sr N
3 1 1
direct
0.000 0.000 0.500
0.000 0.500 0.000
0.500 0.000 0.000
0.500 0.500 0.500
0.000 0.000 0.000
```

Calculated values
ΔE to the lowest computed polymorph: 332 meV/atom
E: -14.814 eV per cell
Formation energy (no corrections): -0.03 eV per atom
Calculated volume: 143.5 Å³/cell
Fermi-level density of states: 0.2105 states/eV/atom

(8)
SrI3N2: optimized geometry, GGA-PBE.

Structure (POSCAR):
```
SrI3N2
1.0
-3.759 -4.310 -7.188
5.745 -0.112 -2.943
-0.540 -8.054 -0.756
I N Sr
6 4 2
direct
0.634 0.250 0.000
0.838 0.500 0.324
0.162 0.000 0.676
0.838 0.000 0.324
0.366 0.750 0.000
0.162 0.500 0.676
0.555 0.249 0.630
0.445 0.751 0.370
0.815 0.751 0.630
0.185 0.249 0.370
0.734 0.750 0.000
0.266 0.250 0.000
```

Calculated values
E: -35.707 eV per cell
Formation energy (no corrections): 0.85 eV per atom
Calculated volume: 396.2 Å³/cell
Fermi-level density of states: 0.1975 states/eV/atom

(9)
SrI3N: optimized geometry, GGA-PBE.

Structure (POSCAR):
```
SrI3N
1.0
-2.967 3.896 1.372
-3.773 -0.099 -8.514
1.387 -8.842 11.934
Sr I N
2 6 2
direct
0.013 0.163 0.737
0.987 0.837 0.263
0.439 0.309 0.662
0.082 0.395 0.359
0.681 0.224 0.921
0.561 0.691 0.338
0.319 0.776 0.079
0.918 0.605 0.641
0.999 0.751 0.602
0.001 0.249 0.398
```

Calculated values
ΔE to the lowest computed polymorph: 0 meV/atom
E: -32.952 eV per cell
Formation energy (no corrections): -0.36 eV per atom
Calculated volume: 402.2 Å³/cell

(10)
Sr4I5N2: optimized geometry, GGA-PBE.

Structure (POSCAR):
```
Sr4I5N2
1.0
-0.094 4.136 -1.481
-2.318 -2.903 -7.960
-8.647 0.094 7.331
Sr N I
4 2 5
direct
0.652 0.652 0.304
0.348 0.348 0.696
0.000 0.302 0.000
0.000 0.698 0.000
0.468 0.468 0.935
0.532 0.532 0.065
0.840 0.071 0.680
0.840 0.610 0.680
0.160 0.390 0.320
0.500 0.000 0.000
0.160 0.929 0.320
```

Calculated values
E: -45.304 eV per cell
Formation energy (no corrections): -1.29 eV per atom
Calculated volume: 394.4 Å³/cell
Fermi-level density of states: 0.1853 states/eV/atom

(11)
Sr4I3N2: optimized geometry, GGA-PBE.

Structure (POSCAR):
```
Sr4I3N2
1.0
-2.047 2.188 -2.539
-5.438 -2.109 5.602
4.172 7.865 3.414
N Sr I
2 4 3
direct
0.695 0.390 0.843
0.305 0.610 0.157
0.686 0.372 0.102
0.904 0.808 0.286
0.314 0.628 0.898
0.096 0.192 0.714
0.399 0.799 0.590
0.601 0.201 0.410
0.000 0.000 0.000
```

Calculated values
E: -37.353 eV per cell
Formation energy (no corrections): -1.04 eV per atom
Calculated volume: 282.9 Å³/cell
Fermi-level density of states: 0.5411 states/eV/atom

(12)
SrIN4: optimized geometry, GGA-PBE.

Structure (POSCAR):
```
SrIN4
1.0
-1.875 5.404 -3.660
-1.118 -5.876 -3.216
-6.150 -0.378 0.884
N I Sr
8 2 2
direct
0.184 0.367 0.843
0.633 0.816 0.657
0.801 0.822 0.670
0.199 0.178 0.330
0.822 0.801 0.170
0.178 0.199 0.830
0.367 0.184 0.343
0.816 0.633 0.157
0.701 0.299 0.750
0.299 0.701 0.250
0.808 0.192 0.250
0.192 0.808 0.750
```

Calculated values
E: -77.912 eV per cell
Formation energy (no corrections): -0.40 eV per atom
Calculated volume: 255.0 Å³/cell
Fermi-level density of states: 0.5357 states/eV/atom

(13)
SrIN2: optimized geometry, GGA-PBE.

Structure (POSCAR):
```
SrIN2
1.0
2.266 0.000 6.739
-1.133 1.962 6.739
-1.133 -1.962 6.739
N Sr I
2 1 1
direct
0.900 0.900 0.900
0.100 0.100 0.100
0.500 0.500 0.500
0.000 0.000 0.000
```

Calculated values
ΔE to the lowest computed polymorph: 1329 meV/atom
E: -17.295 eV per cell
Formation energy (no corrections): 0.65 eV per atom
Calculated volume: 89.9 Å³/cell
Fermi-level density of states: 0.8067 states/eV/atom

(14)
SrIN2: optimized geometry, GGA-PBE.

Structure (POSCAR):
```
SrIN2
1.0
5.239 0.000 0.000
0.000 5.239 0.000
2.619 2.619 6.143
I N Sr
2 4 2
direct
0.000 0.000 0.000
0.750 0.250 0.500
0.066 0.625 0.250
0.684 0.125 0.250
0.875 0.934 0.750
0.375 0.316 0.750
0.500 0.500 0.000
0.250 0.750 0.500
```

Calculated values
ΔE to the lowest computed polymorph: 1443 meV/atom
E: -33.675 eV per cell
Formation energy (no corrections): 0.76 eV per atom
Calculated volume: 168.6 Å³/cell
Fermi-level density of states: 0.2166 states/eV/atom

(15)
Sr2IN: optimized geometry, GGA-PBE.

Structure (POSCAR):
```
Sr2IN
1.0
0.000 3.735 3.735
3.735 0.000 3.735
3.735 3.735 0.000
Sr I N
2 1 1
direct
0.250 0.250 0.250
0.750 0.750 0.750
0.500 0.500 0.500
0.000 0.000 0.000
```

Calculated values
E: -14.306 eV per cell
Formation energy (no corrections): -0.27 eV per atom
Calculated volume: 104.2 Å³/cell
Fermi-level density of states: 0.0000 states/eV/atom

(16)
Sr2IN: optimized geometry, GGA-PBE.

Structure (POSCAR):
```
Sr2IN
1.0
7.463 0.000 0.000
0.000 7.463 0.000
3.732 3.732 4.626
Sr I N
4 2 2
direct
0.230 0.625 0.250
0.375 0.480 0.750
0.520 0.125 0.250
0.875 0.770 0.750
0.000 0.000 0.000
0.750 0.250 0.500
0.250 0.750 0.500
0.500 0.500 0.000
```

Calculated values
E: -34.305 eV per cell
Formation energy (no corrections): -0.98 eV per atom
Calculated volume: 257.7 Å³/cell
Fermi-level density of states: 0.0000 states/eV/atom

(17)
Sr2IN: optimized geometry, GGA-PBE.

Structure (POSCAR):
```
Sr2IN
1.0
-1.726 -1.896 3.050
7.281 -2.238 2.728
0.354 5.761 3.781
I Sr N
2 4 2
direct
0.000 0.069 0.500
0.500 0.931 0.000
0.500 0.330 0.767
0.500 0.330 0.233
0.000 0.670 0.733
0.000 0.670 0.267
0.000 0.443 0.000
0.500 0.557 0.500
```

Calculated values
E: -34.370 eV per cell
Formation energy (no corrections): -0.99 eV per atom
Calculated volume: 222.4 Å³/cell
Fermi-level density of states: 0.0000 states/eV/atom

(18)
SrIN: optimized geometry, GGA-PBE.

Structure (POSCAR):
```
SrIN
1.0
4.779 0.044 -0.049
0.021 4.779 -0.049
-2.308 -2.319 9.062
Sr N I
2 2 2
direct
0.870 0.870 0.239
0.130 0.130 0.761
0.908 0.908 0.500
0.092 0.092 0.500
0.672 0.672 0.844
0.328 0.328 0.156
```

Calculated values
E: -28.378 eV per cell
Formation energy (no corrections): -0.88 eV per atom
Calculated volume: 205.9 Å³/cell
Fermi-level density of states: 0.6628 states/eV/atom

(19)
Sr4I3N: optimized geometry, GGA-PBE.

Structure (POSCAR):
```
Sr4I3N
1.0
-8.080 -1.069 -1.607
2.732 0.011 7.845
2.587 7.640 -1.988
I N Sr
3 1 4
direct
0.498 0.214 0.712
0.498 0.786 0.284
0.085 0.000 0.085
0.024 0.500 0.524
0.105 0.732 0.373
0.641 0.268 0.373
0.150 0.314 0.464
0.150 0.686 0.836
```

Calculated values
E: -27.489 eV per cell
Formation energy (no corrections): -0.97 eV per atom
Calculated volume: 423.5 Å³/cell
Fermi-level density of states: 0.2159 states/eV/atom

(20)
Sr2IN: optimized geometry, GGA-PBE.

Structure (POSCAR):
```
Sr2IN
1.0
8.156 -0.001 -0.001
7.160 3.907 -0.001
7.160 1.826 3.454
N I Sr
1 1 2
direct
0.500 0.500 0.500
0.000 0.000 0.000
0.223 0.223 0.223
0.777 0.777 0.777
```

Calculated values
E: -17.595 eV per cell
Formation energy (no corrections): -1.09 eV per atom
Calculated volume: 110.1 Å³/cell
Fermi-level density of states: 0.0000 states/eV/atom